Entry 1:
DFT (PBE) results for a relaxed structure of Hf8Tc3Sn2.

```
Hf8Tc3Sn2
1.0
4.6017 -6.9109 0.0000
4.6017 6.9109 0.0000
0.0000 0.0000 4.6267
Hf Tc Sn
8 3 2
direct
0.1104 0.8896 0.0000 Hf
0.1362 0.3583 0.5000 Hf
0.3583 0.1362 0.5000 Hf
0.3859 0.6141 0.0000 Hf
0.6141 0.3859 0.0000 Hf
0.6417 0.8638 0.5000 Hf
0.8638 0.6417 0.5000 Hf
0.8896 0.1104 0.0000 Hf
0.2495 0.2495 0.0000 Tc
0.5000 0.5000 0.5000 Tc
0.7505 0.7505 0.0000 Tc
0.2483 0.7517 0.5000 Sn
0.7517 0.2483 0.5000 Sn
```

Results
* formation energy from the elements: -3.85 kcal/mol of atoms
* M_tot: 0.00 μB/cell
* space group: Cmmm (65)

=====

Entry 2:
DFT (PBE) results for a relaxed structure of PmTlTcO5.

```
PmTlTcO5
1.0
3.9765 -5.2649 0.0000
3.9765 5.2649 0.0000
-3.7523 0.0000 7.5276
Pm Tl Tc O
2 2 2 10
direct
0.0000 0.0000 0.0000 Pm
0.0000 0.0000 0.5000 Pm
0.3009 0.6991 0.7500 Tl
0.6991 0.3009 0.2500 Tl
0.3141 0.6859 0.2500 Tc
0.6859 0.3141 0.7500 Tc
0.0786 0.9214 0.7500 O
0.1331 0.7063 0.3756 O
0.2291 0.4020 0.1012 O
0.2937 0.8669 0.1244 O
0.4020 0.2291 0.6012 O
0.5980 0.7709 0.3988 O
0.7063 0.1331 0.8756 O
0.7709 0.5980 0.8988 O
0.8669 0.2937 0.6244 O
0.9214 0.0786 0.2500 O
```

Results
* uncorrected formation energy: -1853 meV/atom
* M_tot: 2.01 μB/cell
* space group: C2/c (15)

=====

Question: Number 1 is which compound?
Answer: Hf8Tc3Sn2

=====

Question: What is the M_tot in the first record?
Answer: 0.00 μB/cell

=====

Question: Which of these has the highest M_tot?
Answer: PmTlTcO5